This record from Alexandria describes an optimized crystal structure of Zn2Pd4W. The functional is PBE.

Space-group type: I4/mmm, No. 139
DOS at the Fermi energy (states/eV/f.u.): 7.41
Formation energy (meV/atom): 771

Unit cell a=7.1534 b=7.1534 c=7.1534 alpha=140.36 beta=140.36 gamma=57.31
Fractional positions:
Zn1 0.1032 0.1032 0.0000
Zn2 0.8968 0.8968 0.0000
Pd1 0.0000 0.5000 0.5000
Pd2 0.3058 0.3058 0.0000
Pd3 0.5000 0.0000 0.5000
Pd4 0.6942 0.6942 0.0000
W1 0.5000 0.5000 0.0000

---

This record from Alexandria describes an optimized crystal structure of NbCuCl2. The functional is PBE.

Space-group type: I-42d, No. 122
DOS at the Fermi energy (states/eV/f.u.): 1.99
Relative energy among the computed polymorphs (meV per atom): 33

Unit cell a=6.7832 b=6.7832 c=6.7832 alpha=129.20 beta=129.20 gamma=74.69
Fractional positions:
Nb1 0.0000 0.0000 0.0000
Nb2 0.7500 0.2500 0.5000
Cu1 0.2500 0.7500 0.5000
Cu2 0.5000 0.5000 0.0000
Cl1 0.1654 0.6250 0.0404
Cl2 0.3750 0.4154 0.5404
Cl3 0.5846 0.1250 0.9596
Cl4 0.8750 0.8346 0.4596

---

This record from Alexandria describes an optimized crystal structure of CoSbPb2. The functional is PBE.

Space-group type: Cmmm, No. 65
DOS at the Fermi energy (states/eV/f.u.): 4.17
Relative energy among the computed polymorphs (meV per atom): 437

Unit cell a=5.6516 b=5.6516 c=3.3879 alpha=90.00 beta=90.00 gamma=109.75
Fractional positions:
Co1 0.0000 0.0000 0.0000
Sb1 0.5000 0.5000 0.0000
Pb1 0.0000 0.5000 0.5000
Pb2 0.5000 0.0000 0.5000